A plane-wave DFT calculation with PBE was carried out for a relaxed structure of FeIN2.

Calculated values
density = 5.45 g/cm³
polymorph energy (0 for the lowest one) = 777 meV/atom

a = 6.269 Å, b = 6.269 Å, c = 6.269 Å
α = 32.79°, β = 32.79°, γ = 32.79°
Each line ends with the local moment (μB).
Positions (direct):
N1 0.895 0.895 0.895  0.06
N2 0.105 0.105 0.105  0.06
I1 0.500 0.500 0.500  0.04
Fe1 0.000 0.000 0.000  3.06